# 1
First-principles (GGA-PBE) data for an optimized crystal structure of Be2Tc2B, as listed in Alexandria via LeMat-Bulk.

Summary:
Magnetization: 0.00 μB/f.u.
E_form: -0.0378 eV/atom
E: -7.0102 eV/atom

a b c (Å): 5.5824 5.5824 6.3595
angles (deg): 90.00 90.00 90.00
With the nearest neighbours (Å) after each atom.
Element x y z (fractional)
Tc (0.6806, 0.8194, 0.5000)  6 Be 2.21-2.35
Tc (0.8194, 0.3194, 0.5000)  6 Be 2.21-2.35
Be (0.1252, 0.3748, 0.2500)  1 Be 1.98, 2 B 2.21, 2 Tc 2.21
Tc (0.1806, 0.6806, 0.5000)  6 Be 2.21-2.35
Tc (0.8194, 0.3194, 0.0000)  6 Be 2.21-2.35
Be (0.1252, 0.3748, 0.7500)  1 Be 1.98, 2 B 2.21, 2 Tc 2.21
Tc (0.6806, 0.8194, 0.0000)  6 Be 2.21-2.35
Be (0.8748, 0.6252, 0.2500)  1 Be 1.98, 2 B 2.21, 2 Tc 2.21
Be (0.3748, 0.8748, 0.7500)  1 Be 1.98, 2 B 2.21, 2 Tc 2.21
Tc (0.1806, 0.6806, 0.0000)  6 Be 2.21-2.35
Be (0.8748, 0.6252, 0.7500)  1 Be 1.98, 2 B 2.21, 2 Tc 2.21
Be (0.6252, 0.1252, 0.7500)  1 Be 1.98, 2 B 2.21, 2 Tc 2.21
Be (0.3748, 0.8748, 0.2500)  1 Be 1.98, 2 B 2.21, 2 Tc 2.21
B (0.5000, 0.5000, 0.2497)  4 Be 2.21
Tc (0.3194, 0.1806, 0.5000)  6 Be 2.21-2.35
B (0.0000, 0.0000, 0.7497)  4 Be 2.21
Be (0.6252, 0.1252, 0.2500)  1 Be 1.98, 2 B 2.21, 2 Tc 2.21
B (0.5000, 0.5000, 0.7503)  4 Be 2.21
Tc (0.3194, 0.1806, 0.0000)  6 Be 2.21-2.35
B (0.0000, 0.0000, 0.2503)  4 Be 2.21


# 2
First-principles (GGA-PBE) data for an optimized crystal structure of BeTcB3, as listed in Alexandria via LeMat-Bulk.

Summary:
Magnetization: 0.00 μB/f.u.
E_form: 1.4406 eV/atom
E above lowest polymorph: 7.483 eV/f.u.
E: -5.3843 eV/atom

a b c (Å): 4.0427 4.0427 4.0427
angles (deg): 90.00 90.00 90.00
With the nearest neighbours (Å) after each atom.
Element x y z (fractional)
B (0.5000, 0.0000, 0.0000)  2 Tc 2.02
Be (0.5000, 0.5000, 0.5000)  12 B 2.86
B (0.0000, 0.0000, 0.5000)  2 Tc 2.02
Tc (0.0000, 0.0000, 0.0000)  6 B 2.02
B (0.0000, 0.5000, 0.0000)  2 Tc 2.02


# 3
First-principles (GGA-PBE) data for an optimized crystal structure of Be5Tc2B4, as listed in Alexandria via LeMat-Bulk.

Summary:
Magnetization: 0.00 μB/f.u.
E_form: -0.1055 eV/atom
E: -6.1121 eV/atom

a b c (Å): 4.3996 5.0625 4.9886
angles (deg): 72.43 68.35 65.07
With the nearest neighbours (Å) after each atom.
Element x y z (fractional)
Be (0.3250, 0.1411, 0.7432)  4 B 1.96-2.10, 2 Be 2.14-2.19
B (0.8483, 0.9115, 0.5395)  2 B 1.69-1.77
Be (0.2207, 0.8416, 0.1886)  4 B 1.91-2.12
B (0.1517, 0.0885, 0.4605)  2 B 1.69-1.77
Tc (0.7396, 0.3510, 0.2144)  5 B 2.24-2.36, 1 Be 2.41
Be (0.7793, 0.1584, 0.8114)  4 B 1.91-2.12
B (0.6665, 0.7696, 0.8858)  1 B 1.69
Tc (0.2604, 0.6490, 0.7856)  5 B 2.24-2.36, 1 Be 2.41
B (0.3335, 0.2304, 0.1142)  1 B 1.69
Be (0.0000, 0.5000, 0.5000)  2 B 1.95, 2 Be 2.14
Be (0.6750, 0.8589, 0.2568)  4 B 1.96-2.10, 2 Be 2.14-2.19


# 4
First-principles (GGA-PBE) data for an optimized crystal structure of Be3TcB12, as listed in Alexandria via LeMat-Bulk.

Summary:
Magnetization: 0.00 μB/f.u.
E_form: 0.2236 eV/atom
E: -6.1310 eV/atom

a b c (Å): 5.0324 5.0324 12.3480
angles (deg): 78.24 78.24 60.00
With the nearest neighbours (Å) after each atom.
Element x y z (fractional)
B (0.7095, 0.3791, 0.2020)  5 B 1.66-1.83
Be (0.5352, 0.5353, 0.8946)  4 B 1.97
B (0.2095, 0.8791, 0.7020)  5 B 1.66-1.83
Tc (0.5352, 0.5352, 0.3945)  12 B 2.40-2.50, 6 Be 2.52
B (0.0608, 0.7105, 0.5181)  4 B 1.76-1.83, 2 Be 1.97
B (0.8791, 0.2095, 0.7020)  5 B 1.66-1.83
B (0.2106, 0.2105, 0.0181)  4 B 1.76-1.83, 2 Be 1.97
B (0.1912, 0.8608, 0.0871)  5 B 1.66-1.83
B (0.2095, 0.2095, 0.7020)  5 B 1.66-1.83
B (0.7105, 0.7106, 0.5181)  4 B 1.76-1.83, 2 Be 1.97
B (0.7106, 0.0608, 0.5181)  4 B 1.76-1.83, 2 Be 1.97
B (0.5096, 0.8598, 0.7709)  4 B 1.76-1.83, 2 Be 1.97
B (0.8597, 0.5095, 0.7709)  4 B 1.76-1.83, 2 Be 1.97
Be (0.0349, 0.5352, 0.8946)  4 B 1.97
Tc (0.0352, 0.0352, 0.8945)  12 B 2.40-2.50, 6 Be 2.52
B (0.0096, 0.3597, 0.2709)  4 B 1.76-1.83, 2 Be 1.97
Be (0.0353, 0.0352, 0.3946)  4 B 1.97
B (0.8608, 0.1912, 0.0871)  5 B 1.66-1.83
B (0.3791, 0.7095, 0.2020)  5 B 1.66-1.83
Be (0.5353, 0.0349, 0.8946)  4 B 1.97
B (0.3608, 0.6912, 0.5871)  5 B 1.66-1.83
B (0.5608, 0.2106, 0.0181)  4 B 1.76-1.83, 2 Be 1.97
B (0.3597, 0.3598, 0.2709)  4 B 1.76-1.83, 2 Be 1.97
B (0.7095, 0.7095, 0.2020)  5 B 1.66-1.83
B (0.3598, 0.0096, 0.2709)  4 B 1.76-1.83, 2 Be 1.97
Be (0.5349, 0.0353, 0.3946)  4 B 1.97
B (0.8608, 0.8608, 0.0871)  5 B 1.66-1.83
B (0.6912, 0.3608, 0.5871)  5 B 1.66-1.83
Be (0.0352, 0.5349, 0.3946)  4 B 1.97
B (0.2105, 0.5608, 0.0181)  4 B 1.76-1.83, 2 Be 1.97
B (0.3608, 0.3608, 0.5871)  5 B 1.66-1.83
B (0.8598, 0.8597, 0.7709)  4 B 1.76-1.83, 2 Be 1.97


# 5
First-principles (GGA-PBE) data for an optimized crystal structure of BeTc4B, as listed in Alexandria via LeMat-Bulk.

Summary:
Magnetization: 0.00 μB/f.u.
E_form: -0.0358 eV/atom
E: -8.6804 eV/atom

a b c (Å): 5.4064 5.4064 6.3068
angles (deg): 115.38 115.38 90.00
With the nearest neighbours (Å) after each atom.
Element x y z (fractional)
Tc (0.5314, 0.0314, 0.7274)  2 B 2.31, 2 Be 2.43, 1 Tc 2.56
Be (0.5000, 0.5000, 0.0000)  8 Tc 2.43, 2 B 2.51
Tc (0.6960, 0.5314, 0.7274)  2 B 2.31, 2 Be 2.43, 1 Tc 2.56
B (0.7500, 0.7500, 0.5000)  8 Tc 2.31, 2 Be 2.51
Tc (0.4686, 0.9686, 0.2726)  2 B 2.31, 2 Be 2.43, 1 Tc 2.56
Tc (0.3040, 0.4686, 0.2726)  2 B 2.31, 2 Be 2.43, 1 Tc 2.56
Tc (0.1960, 0.6960, 0.7274)  2 B 2.31, 2 Be 2.43, 1 Tc 2.56
Tc (0.8040, 0.3040, 0.2726)  2 B 2.31, 2 Be 2.43, 1 Tc 2.56
Tc (0.0314, 0.1960, 0.7274)  2 B 2.31, 2 Be 2.43, 1 Tc 2.56
Tc (0.9686, 0.8040, 0.2726)  2 B 2.31, 2 Be 2.43, 1 Tc 2.56
Be (0.0000, 0.0000, 0.0000)  8 Tc 2.43, 2 B 2.51
B (0.2500, 0.2500, 0.5000)  8 Tc 2.31, 2 Be 2.51


# 6
First-principles (GGA-PBE) data for an optimized crystal structure of BeTcB3, as listed in Alexandria via LeMat-Bulk.

Summary:
Magnetization: 0.00 μB/f.u.
E_form: -0.0560 eV/atom
E above lowest polymorph: 0.000 eV/f.u.
E: -6.8809 eV/atom

a b c (Å): 4.4933 5.1067 4.4319
angles (deg): 90.00 54.07 90.00
With the nearest neighbours (Å) after each atom.
Element x y z (fractional)
Be (0.6194, 0.6338, 0.0316)  6 B 2.03-2.26
Tc (0.6600, 0.3822, 0.5360)  9 B 2.20-2.42, 1 Be 2.46
B (0.5528, 0.0358, 0.9400)  3 B 1.74-1.83
B (0.5060, 0.0129, 0.3568)  2 B 1.74-1.78
Be (0.0279, 0.1339, 0.8698)  6 B 2.03-2.26
B (0.2570, 0.3133, 0.1612)  3 B 1.78-1.83
B (0.0944, 0.5358, 0.9616)  3 B 1.74-1.83
B (0.3902, 0.8133, 0.7404)  3 B 1.78-1.83
Tc (0.9872, 0.8822, 0.3656)  9 B 2.20-2.42, 1 Be 2.46
B (0.1412, 0.5130, 0.5448)  2 B 1.74-1.78


# 7
First-principles (GGA-PBE) data for an optimized crystal structure of Be3TcB, as listed in Alexandria via LeMat-Bulk.

Summary:
Magnetization: 0.00 μB/f.u.
E_form: -0.2290 eV/atom
E above lowest polymorph: 0.000 eV/f.u.
E: -5.8734 eV/atom

a b c (Å): 4.1583 4.4079 5.1351
angles (deg): 90.00 111.73 90.00
With the nearest neighbours (Å) after each atom.
Element x y z (fractional)
Be (0.8290, 0.4476, 0.1612)  1 B 1.84
Be (0.7419, 0.7038, 0.4832)  2 B 1.98-2.01, 2 Be 2.14-2.15
B (0.8889, 0.4476, 0.8240)  5 Be 1.84-2.01
Be (0.2053, 0.9476, 0.3994)  1 B 1.84
Tc (0.3037, 0.4476, 0.6359)  4 B 2.26-2.41, 9 Be 2.45-2.52
Be (0.2924, 0.6914, 0.0774)  2 B 1.98-2.01, 2 Be 2.14-2.15
Tc (0.7306, 0.9476, 0.9246)  4 B 2.26-2.41, 9 Be 2.45-2.52
Be (0.2924, 0.2038, 0.0774)  2 B 1.98-2.01, 2 Be 2.14-2.15
B (0.1454, 0.9476, 0.7365)  5 Be 1.84-2.01
Be (0.7419, 0.1914, 0.4832)  2 B 1.98-2.01, 2 Be 2.14-2.15


# 8
First-principles (GGA-PBE) data for an optimized crystal structure of BeTcB, as listed in Alexandria via LeMat-Bulk.

Summary:
Magnetization: 0.00 μB/f.u.
E_form: -0.3981 eV/atom
E above lowest polymorph: 0.000 eV/f.u.
E: -7.3213 eV/atom

a b c (Å): 4.2148 4.9893 5.6367
angles (deg): 110.79 90.00 90.00
With the nearest neighbours (Å) after each atom.
Element x y z (fractional)
B (0.1170, 0.3391, 0.4888)  1 B 1.85, 2 Be 2.02-2.03
Be (0.6100, 0.9155, 0.8007)  3 B 2.02-2.22
Be (0.3900, 0.0845, 0.1993)  3 B 2.02-2.22
Tc (0.6110, 0.3118, 0.6187)  5 B 2.23-2.34, 2 Be 2.42-2.45
Tc (0.3890, 0.6882, 0.3813)  5 B 2.23-2.34, 2 Be 2.42-2.45
Tc (0.8890, 0.3118, 0.1187)  5 B 2.23-2.34, 2 Be 2.42-2.45
Tc (0.1110, 0.6882, 0.8813)  5 B 2.23-2.34, 2 Be 2.42-2.45
B (0.6170, 0.6609, 0.0112)  1 B 1.85, 2 Be 2.02-2.03
Be (0.1100, 0.0845, 0.6993)  3 B 2.02-2.22
Be (0.8900, 0.9155, 0.3007)  3 B 2.02-2.22
B (0.3830, 0.3391, 0.9888)  1 B 1.85, 2 Be 2.02-2.03
B (0.8830, 0.6609, 0.5112)  1 B 1.85, 2 Be 2.02-2.03


# 9
First-principles (GGA-PBE) data for an optimized crystal structure of BeTc2B, as listed in Alexandria via LeMat-Bulk.

Summary:
Magnetization: 0.00 μB/f.u.
E_form: 0.0160 eV/atom
E above lowest polymorph: 0.000 eV/f.u.
E: -7.7679 eV/atom

a b c (Å): 3.1002 3.1002 5.7400
angles (deg): 74.33 74.33 60.00
With the nearest neighbours (Å) after each atom.
Element x y z (fractional)
Tc (0.7611, 0.7611, 0.7168)  3 B 2.15, 3 Be 2.36
Be (0.0000, 0.0000, 0.0000)  6 Tc 2.36
B (0.5000, 0.5000, 0.5000)  6 Tc 2.15
Tc (0.2389, 0.2389, 0.2832)  3 B 2.15, 3 Be 2.36


# 10
First-principles (GGA-PBE) data for an optimized crystal structure of BeTcB3, as listed in Alexandria via LeMat-Bulk.

Summary:
Magnetization: 0.00 μB/f.u.
E_form: 1.3457 eV/atom
E above lowest polymorph: 7.008 eV/f.u.
E: -5.4792 eV/atom

a b c (Å): 3.5151 3.5151 3.5151
angles (deg): 90.00 90.00 90.00
With the nearest neighbours (Å) after each atom.
Element x y z (fractional)
B (0.0000, 0.0000, 0.5000)  2 Be 1.76
B (0.0000, 0.5000, 0.0000)  2 Be 1.76
Be (0.0000, 0.0000, 0.0000)  6 B 1.76
Tc (0.5000, 0.5000, 0.5000)  12 B 2.49
B (0.5000, 0.0000, 0.0000)  2 Be 1.76


# 11
First-principles (GGA-PBE) data for an optimized crystal structure of BeTcB, as listed in Alexandria via LeMat-Bulk.

Summary:
Magnetization: 0.00 μB/f.u.
E_form: -0.3514 eV/atom
E above lowest polymorph: 0.140 eV/f.u.
E: -7.2746 eV/atom

a b c (Å): 2.9574 3.0245 6.5982
angles (deg): 103.25 90.00 90.00
With the nearest neighbours (Å) after each atom.
Element x y z (fractional)
B (0.2500, 0.4574, 0.9148)  2 B 1.84
Tc (0.7500, 0.9033, 0.8065)  6 B 2.23-2.34, 1 Be 2.48
B (0.7500, 0.5426, 0.0852)  2 B 1.84
Be (0.2500, 0.2898, 0.5796)  1 B 2.15, 4 Be 2.35
Be (0.7500, 0.7102, 0.4204)  1 B 2.15, 4 Be 2.35
Tc (0.2500, 0.0967, 0.1935)  6 B 2.23-2.34, 1 Be 2.48


# 12
First-principles (GGA-PBE) data for an optimized crystal structure of BeTc2B, as listed in Alexandria via LeMat-Bulk.

Summary:
Magnetization: 0.00 μB/f.u.
E_form: 0.0650 eV/atom
E above lowest polymorph: 0.196 eV/f.u.
E: -7.7189 eV/atom

a b c (Å): 3.9175 3.9175 3.9175
angles (deg): 60.00 60.00 60.00
With the nearest neighbours (Å) after each atom.
Element x y z (fractional)
B (0.5000, 0.5000, 0.5000)  8 Tc 2.40
Tc (0.7500, 0.7500, 0.7500)  4 Be 2.40, 4 B 2.40
Be (0.0000, 0.0000, 0.0000)  8 Tc 2.40
Tc (0.2500, 0.2500, 0.2500)  4 Be 2.40, 4 B 2.40